1.
K2Na5TlAu2 | Alexandria | GGA-PBE | optimized geometry; energy of formation from the pure elements = -15 kJ/mol of atoms; calculated volume = 642 Å³/cell
1.0
-2.100 -1.744 -3.525
-7.593 -5.702 7.345
-7.381 9.463 -0.284
Au K Na Tl
4 4 10 2
Direct
0.000 0.620 0.880
0.000 0.120 0.620
0.000 0.380 0.120
0.000 0.880 0.380
0.000 0.175 0.325
0.000 0.325 0.825
0.000 0.675 0.175
0.000 0.825 0.675
0.500 0.934 0.207
0.500 0.207 0.066
0.500 0.434 0.293
0.500 0.000 0.500
0.500 0.066 0.793
0.500 0.293 0.566
0.500 0.793 0.934
0.500 0.707 0.434
0.500 0.566 0.707
0.500 0.500 0.000
0.000 0.000 0.000
0.000 0.500 0.500

2.
KZnGe3 | Alexandria | GGA-PBE | optimized geometry; E above lowest polymorph = 1203 meV/atom; energy of formation from the pure elements = 153 kJ/mol of atoms; calculated volume = 177 Å³/cell
1.0
-3.724 2.858 3.088
-0.724 -4.497 3.289
4.145 1.782 3.349
Zn Ge K
1 3 1
Direct
0.500 0.500 0.500
0.000 0.500 0.000
0.500 0.000 0.000
0.000 0.000 0.500
0.000 0.000 0.000

3.
LiGeTe3 | Alexandria | GGA-PBE | optimized geometry; E above lowest polymorph = 0 meV/atom; E_form (uncorrected) = -123 kJ/mol of formula units; calculated volume = 623 Å³/cell
1.0
7.562 0.000 0.003
0.000 8.842 0.000
-0.415 0.000 9.318
Li Te Ge
4 12 4
Direct
0.539 0.054 0.327
0.461 0.946 0.673
0.039 0.446 0.827
0.961 0.554 0.173
0.169 0.738 0.925
0.280 0.197 0.881
0.780 0.303 0.381
0.801 0.973 0.801
0.331 0.238 0.575
0.720 0.803 0.119
0.699 0.473 0.699
0.669 0.762 0.425
0.220 0.697 0.619
0.301 0.527 0.301
0.199 0.027 0.199
0.831 0.262 0.075
0.443 0.612 0.066
0.057 0.112 0.434
0.557 0.388 0.934
0.943 0.888 0.566